# YZrCoGe | OQMD via LeMat-Bulk | GGA-PBE | relaxed
data_YZrCoGe
_space_group_name_H-M_alt 'P 1'
_space_group_IT_number 1
_cell_length_a 4.698
_cell_length_b 4.698
_cell_length_c 4.698
_cell_angle_alpha 60.00
_cell_angle_beta 60.00
_cell_angle_gamma 60.00
loop_
_space_group_symop_operation_xyz
'x,y,z'
loop_
_atom_site_label
_atom_site_type_symbol
_atom_site_fract_x
_atom_site_fract_y
_atom_site_fract_z
Ge1 Ge 0.000 0.000 0.000
Zr1 Zr 0.250 0.250 0.250
Co1 Co 0.750 0.750 0.750
Y1 Y 0.500 0.500 0.500
# SG: F-43m
# Energy above the most stable polymorph in this dataset, eV/f.u.: 0.00
# Spin magnetization, μB/f.u.: 2.0

=====

# SmInCo2 | OQMD via LeMat-Bulk | GGA-PBE | relaxed
data_SmInCo2
_space_group_name_H-M_alt 'P 1'
_space_group_IT_number 1
_cell_length_a 5.100
_cell_length_b 4.024
_cell_length_c 7.185
_cell_angle_alpha 90.00
_cell_angle_beta 90.00
_cell_angle_gamma 90.00
loop_
_space_group_symop_operation_xyz
'x,y,z'
loop_
_atom_site_label
_atom_site_type_symbol
_atom_site_fract_x
_atom_site_fract_y
_atom_site_fract_z
Co1 Co 0.500 0.000 0.000
Co2 Co 0.250 0.500 0.089
Co3 Co 0.750 0.500 0.911
Co4 Co 0.000 0.000 0.000
Sm1 Sm 0.250 0.500 0.717
Sm2 Sm 0.750 0.500 0.283
In1 In 0.250 0.000 0.345
In2 In 0.750 0.000 0.655
# SG: Pmma
# Spin magnetization, μB/f.u.: 2.2
# E, eV for the cell shown: -45.12

=====

# Er2InGe | OQMD via LeMat-Bulk | GGA-PBE | relaxed
data_Er2InGe
_space_group_name_H-M_alt 'P 1'
_space_group_IT_number 1
_cell_length_a 4.100
_cell_length_b 5.939
_cell_length_c 5.939
_cell_angle_alpha 43.52
_cell_angle_beta 90.00
_cell_angle_gamma 90.00
loop_
_space_group_symop_operation_xyz
'x,y,z'
loop_
_atom_site_label
_atom_site_type_symbol
_atom_site_fract_x
_atom_site_fract_y
_atom_site_fract_z
Ge1 Ge 0.500 0.911 0.911
Er1 Er 0.500 0.643 0.643
Er2 Er 0.000 0.364 0.364
In1 In 0.000 0.083 0.083
# SG: Amm2
# Spin magnetization, μB/f.u.: 0.0
# E, eV for the cell shown: -18.97

=====

# ZrNiB4 | OQMD via LeMat-Bulk | GGA-PBE | relaxed
data_ZrNiB4
_space_group_name_H-M_alt 'P 1'
_space_group_IT_number 1
_cell_length_a 4.641
_cell_length_b 4.641
_cell_length_c 4.641
_cell_angle_alpha 141.00
_cell_angle_beta 111.83
_cell_angle_gamma 81.43
loop_
_space_group_symop_operation_xyz
'x,y,z'
loop_
_atom_site_label
_atom_site_type_symbol
_atom_site_fract_x
_atom_site_fract_y
_atom_site_fract_z
B1 B 0.437 0.759 0.678
B2 B 0.919 0.241 0.678
B3 B 0.081 0.759 0.322
B4 B 0.563 0.241 0.322
Zr1 Zr 0.500 0.500 0.000
Ni1 Ni 0.000 0.000 0.000
# SG: Immm
# Energy above the most stable polymorph in this dataset, eV/f.u.: 1.28
# Spin magnetization, μB/f.u.: 0.0

=====

# CdPt2O4 | OQMD via LeMat-Bulk | GGA-PBE | relaxed
data_CdPt2O4
_space_group_name_H-M_alt 'P 1'
_space_group_IT_number 1
_cell_length_a 6.442
_cell_length_b 6.442
_cell_length_c 6.442
_cell_angle_alpha 120.00
_cell_angle_beta 90.00
_cell_angle_gamma 120.00
loop_
_space_group_symop_operation_xyz
'x,y,z'
loop_
_atom_site_label
_atom_site_type_symbol
_atom_site_fract_x
_atom_site_fract_y
_atom_site_fract_z
O1 O 0.145 0.710 0.855
O2 O 0.185 0.790 0.395
O3 O 0.565 0.710 0.855
O4 O 0.605 0.210 0.395
O5 O 0.605 0.790 0.395
O6 O 0.145 0.290 0.435
O7 O 0.145 0.290 0.855
O8 O 0.605 0.210 0.815
Cd1 Cd 0.000 0.000 0.000
Cd2 Cd 0.750 0.500 0.250
Pt1 Pt 0.875 0.250 0.625
Pt2 Pt 0.375 0.750 0.125
Pt3 Pt 0.375 0.750 0.625
Pt4 Pt 0.375 0.250 0.625
# SG: Fd-3m
# Spin magnetization, μB/f.u.: 0.0
# E, eV for the cell shown: -71.22

=====

# SrAl5NiPt | OQMD via LeMat-Bulk | GGA-PBE | relaxed
data_SrAl5NiPt
_space_group_name_H-M_alt 'P 1'
_space_group_IT_number 1
_cell_length_a 6.491
_cell_length_b 6.491
_cell_length_c 6.491
_cell_angle_alpha 143.54
_cell_angle_beta 111.97
_cell_angle_gamma 79.73
loop_
_space_group_symop_operation_xyz
'x,y,z'
loop_
_atom_site_label
_atom_site_type_symbol
_atom_site_fract_x
_atom_site_fract_y
_atom_site_fract_z
Al1 Al 0.962 0.659 0.302
Al2 Al 0.993 0.993 0.000
Al3 Al 0.659 0.342 0.316
Al4 Al 0.357 0.659 0.698
Al5 Al 0.026 0.342 0.684
Pt1 Pt 0.236 0.236 0.000
Sr1 Sr 0.503 0.003 0.500
Ni1 Ni 0.765 0.765 0.000
# SG: Imm2
# Spin magnetization, μB/f.u.: 0.0
# E, eV for the cell shown: -37.20

=====

# Pr2TmPbC | OQMD via LeMat-Bulk | GGA-PBE | relaxed
data_Pr2TmPbC
_space_group_name_H-M_alt 'P 1'
_space_group_IT_number 1
_cell_length_a 5.192
_cell_length_b 5.192
_cell_length_c 4.852
_cell_angle_alpha 90.00
_cell_angle_beta 90.00
_cell_angle_gamma 90.00
loop_
_space_group_symop_operation_xyz
'x,y,z'
loop_
_atom_site_label
_atom_site_type_symbol
_atom_site_fract_x
_atom_site_fract_y
_atom_site_fract_z
Pb1 Pb 0.500 0.500 0.000
Pr1 Pr 0.000 0.500 0.500
Pr2 Pr 0.500 0.000 0.500
Tm1 Tm 0.000 0.000 0.000
C1 C 0.000 0.000 0.500
# SG: P4/mmm
# Spin magnetization, μB/f.u.: 0.0
# E, eV for the cell shown: -29.04

=====

# LuTaGaFe | OQMD via LeMat-Bulk | GGA-PBE | relaxed
data_LuTaGaFe
_space_group_name_H-M_alt 'P 1'
_space_group_IT_number 1
_cell_length_a 4.544
_cell_length_b 4.544
_cell_length_c 4.544
_cell_angle_alpha 60.00
_cell_angle_beta 60.00
_cell_angle_gamma 60.00
loop_
_space_group_symop_operation_xyz
'x,y,z'
loop_
_atom_site_label
_atom_site_type_symbol
_atom_site_fract_x
_atom_site_fract_y
_atom_site_fract_z
Fe1 Fe 0.750 0.750 0.750
Ga1 Ga 0.000 0.000 0.000
Ta1 Ta 0.500 0.500 0.500
Lu1 Lu 0.250 0.250 0.250
# SG: F-43m
# Energy above the most stable polymorph in this dataset, eV/f.u.: 0.00
# Spin magnetization, μB/f.u.: 0.6